# 1
A plane-wave DFT calculation with GGA-PBE was carried out for a relaxed structure of Li2AcCrN4.

Computed properties:
Energy relative to the elements, uncorrected (meV per atom): -621
SG: Pmn2_1
Fermi-level density of states (states/eV/f.u.): 4.472

Lattice parameters (Å, degrees): 7.7241 5.2038 5.2188 90.00 90.00 90.00
Last column: nearest neighbours and their distance in Å.
Sites, in units of the cell vectors:
Li1 0.2453 0.2089 0.0000  4 N 2.04-2.14
Li2 0.2547 0.7911 0.5000  4 N 2.04-2.14
Li3 0.7453 0.7911 0.5000  4 N 2.04-2.14
Li4 0.7547 0.2089 0.0000  4 N 2.04-2.14
Ac1 0.0000 0.2392 0.5026  6 N 2.56-2.80
Ac2 0.5000 0.7608 0.0026  6 N 2.56-2.80
Cr1 0.0000 0.7036 0.9858  4 N 1.74-1.75
Cr2 0.5000 0.2964 0.4858  4 N 1.74-1.75
N1 0.0000 0.3700 0.0231  1 Cr 1.75
N2 0.0000 0.7483 0.6550  1 Cr 1.74
N3 0.1833 0.8401 0.1262  1 Cr 1.75
N4 0.3167 0.1599 0.6262  1 Cr 1.75
N5 0.5000 0.2517 0.1550  1 Cr 1.74
N6 0.5000 0.6300 0.5231  1 Cr 1.75
N7 0.6833 0.1599 0.6262  1 Cr 1.75
N8 0.8167 0.8401 0.1262  1 Cr 1.75

---

# 2
A plane-wave DFT calculation with GGA-PBE was carried out for a relaxed structure of Ba2Sn4HgIr3.

Computed properties:
Formation enthalpy at 0 K (eV per atom): -0.357
SG: P-4m2
Fermi-level density of states (states/eV/f.u.): 8.122

Lattice parameters (Å, degrees): 4.7941 4.7941 10.9307 90.00 90.00 90.00
Last column: nearest neighbours and their distance in Å.
Sites, in units of the cell vectors:
Ba1 0.0000 0.5000 0.2489  8 Sn 3.61-3.63, 2 Hg 3.64, 7 Ir 3.64-4.02
Ba2 0.5000 0.0000 0.7511  8 Sn 3.61-3.63, 2 Hg 3.64, 7 Ir 3.64-4.02
Sn1 0.0000 0.0000 0.0000  4 Ir 2.73
Sn2 0.0000 0.5000 0.6369  3 Ir 2.67-2.83, 2 Hg 2.83
Sn3 0.5000 0.0000 0.3631  3 Ir 2.67-2.83, 2 Hg 2.83
Sn4 0.5000 0.5000 0.0000  4 Ir 2.73
Hg1 0.0000 0.0000 0.5000  4 Sn 2.83
Ir1 0.0000 0.5000 0.8812  5 Sn 2.67-2.73
Ir2 0.5000 0.0000 0.1188  5 Sn 2.67-2.73
Ir3 0.5000 0.5000 0.5000  4 Sn 2.83

---

# 3
A plane-wave DFT calculation with GGA-PBE was carried out for a relaxed structure of Zn2HgW.

Computed properties:
Formation enthalpy at 0 K (eV per atom): 0.425
SG: C2/m
Fermi-level density of states (states/eV/f.u.): 1.170

Lattice parameters (Å, degrees): 5.4261 5.4261 2.7789 102.87 102.87 115.54
Last column: nearest neighbours and their distance in Å.
Sites, in units of the cell vectors:
Zn1 0.0000 0.5000 0.0000  2 Hg 2.76, 2 W 2.76, 6 Zn 2.78-3.06
Zn2 0.5000 0.0000 0.0000  2 Hg 2.76, 2 W 2.76, 6 Zn 2.78-3.06
Hg1 0.0000 0.0000 0.5000  4 Zn 2.76, 2 Hg 2.78, 4 W 2.89-3.06
W1 0.5000 0.5000 0.5000  4 Zn 2.76, 2 W 2.78, 4 Hg 2.89-3.06

---

# 4
A plane-wave DFT calculation with GGA-PBE was carried out for a relaxed structure of Be2AuBr.

Computed properties:
Energy above the most stable polymorph in this dataset (meV per atom): 69
Energy relative to the elements, uncorrected (meV per atom): -78
SG: Cm
Fermi-level density of states (states/eV/f.u.): 0.936

Lattice parameters (Å, degrees): 3.9976 3.9976 5.8556 91.16 91.16 60.02
Last column: nearest neighbours and their distance in Å.
Sites, in units of the cell vectors:
Be1 0.0000 0.0000 0.0000  3 Au 2.31, 3 Be 2.41
Be2 0.6691 0.6691 0.1177  1 Br 2.07
Au1 0.3331 0.3331 0.9797  6 Be 2.31-2.45
Br1 0.6741 0.6741 0.4709  1 Be 2.07